# Pr2ThPd9

Crystalline Pr2ThPd9 at its relaxed geometry (PBE-GGA, the Alexandria database).

Lattice parameters (Å, degrees): 4.2126 4.2126 12.6836 90.00 90.00 90.00
Fractional coordinates of all 12 atoms:
1 Pr 0.0000 0.0000 0.1659
2 Pr 0.0000 0.0000 0.8341
3 Th 0.0000 0.0000 0.5000
4 Pd 0.0000 0.5000 0.0000
5 Pd 0.0000 0.5000 0.3376
6 Pd 0.0000 0.5000 0.6624
7 Pd 0.5000 0.0000 0.0000
8 Pd 0.5000 0.0000 0.3376
9 Pd 0.5000 0.0000 0.6624
10 Pd 0.5000 0.5000 0.1686
11 Pd 0.5000 0.5000 0.5000
12 Pd 0.5000 0.5000 0.8314

Symmetry ... P4/mmm

---

# Tb2Sm2Ge3

Crystalline Tb2Sm2Ge3 at its relaxed geometry (PBE-GGA, the Alexandria database).

Lattice parameters (Å, degrees): 7.0636 7.0636 7.6287 101.17 101.17 34.41
Fractional coordinates of all 7 atoms:
1 Tb 0.1305 0.1305 0.3992
2 Tb 0.8695 0.8695 0.6008
3 Sm 0.3654 0.3654 0.1428
4 Sm 0.6346 0.6346 0.8572
5 Ge 0.2661 0.2661 0.7618
6 Ge 0.5000 0.5000 0.5000
7 Ge 0.7339 0.7339 0.2382

Symmetry ... C2/m

---

# KMg2Rh

Crystalline KMg2Rh at its relaxed geometry (PBE-GGA, the Alexandria database).

Lattice parameters (Å, degrees): 10.4883 10.4883 10.4883 18.06 18.06 18.06
Fractional coordinates of all 4 atoms:
1 K 0.0000 0.0000 0.0000
2 Mg 0.2266 0.2266 0.2266
3 Mg 0.7734 0.7734 0.7734
4 Rh 0.5000 0.5000 0.5000

ΔE to the lowest computed polymorph ... 0.241 eV/atom
Symmetry ... R-3m

---

| no. | energy (eV per atom) | total magnetic moment (μB per atom) |
| --- | --- | --- |
| 1 | -6.15 | 0.00 |
| 2 | -5.26 | 0.03 |
| 3 | -2.79 | 0.00 |